{
  "formula": "NdTlSn4",
  "functional": "PBE-GGA",
  "state": "optimized geometry",
  "dft_energy_ev_per_cell": -24.40,
  "dos_ef_per_ev_cell": 3.40,
  "e_form_ev_per_atom": -0.209,
  "space_group": "F-43m, No. 216",
  "lattice_angstrom": [[-2.676, 2.502, 5.062], [2.892, -0.295, 5.531], [2.386, 5.177, 2.558]],
  "species": ["Sn", "Nd", "Sn", "Tl", "Sn", "Sn"],
  "frac_coords": [[0.625, 0.625, 0.126], [0.250, 0.250, 0.250], [0.126, 0.625, 0.625], [0.000, 0.000, 0.000], [0.625, 0.625, 0.625], [0.625, 0.126, 0.625]]
}